Record 1
Density functional theory data (PBE) for Y11Al9Co4 after structural relaxation.

CIF file:
```
data_Y11Al9Co4
_space_group_name_H-M_alt 'C m m m'
_space_group_IT_number 65
_space_group_name_Hall '-C 2 2'
_cell_length_a 13.9165
_cell_length_b 20.8130
_cell_length_c 3.5882
_cell_angle_alpha 90.00
_cell_angle_beta 90.00
_cell_angle_gamma 90.00
loop_
_atom_site_label
_atom_site_type_symbol
_atom_site_fract_x
_atom_site_fract_y
_atom_site_fract_z
Y1 Y 0.0000 0.0000 0.0000
Y2 Y 0.0000 0.1660 0.0000
Y3 Y 0.0000 0.3755 0.0000
Y4 Y 0.1883 0.5000 0.0000
Y5 Y 0.2439 0.1701 0.0000
Al1 Al 0.0000 0.5000 0.5000
Al2 Al 0.1007 0.2697 0.5000
Al3 Al 0.1529 0.0682 0.5000
Co1 Co 0.1552 0.3981 0.5000
```

Calculated values
Its raw total energy is -5.961 eV per atom. The crystal system is orthorhombic. As for the density of states at the Fermi level: 13.936 states/eV/f.u.


Record 2
Density functional theory data (PBE) for Mn2SiBS after structural relaxation.

CIF file:
```
data_Mn2SiBS
_space_group_name_H-M_alt 'P 4/m m m'
_space_group_IT_number 123
_space_group_name_Hall '-P 4 2'
_cell_length_a 4.1088
_cell_length_b 4.1088
_cell_length_c 3.9376
_cell_angle_alpha 90.00
_cell_angle_beta 90.00
_cell_angle_gamma 90.00
loop_
_atom_site_label
_atom_site_type_symbol
_atom_site_fract_x
_atom_site_fract_y
_atom_site_fract_z
Mn1 Mn 0.0000 0.5000 0.0000
Si1 Si 0.0000 0.0000 0.5000
B1 B 0.5000 0.5000 0.0000
S1 S 0.5000 0.5000 0.5000
```

Calculated values
Its raw total energy is -6.328 eV per atom. The crystal system is tetragonal. As for the density of states at the Fermi level: 2.420 states/eV/f.u. Its uncorrected formation energy is 0.59 eV/atom.


Repeat the first record exactly.
Density functional theory data (PBE) for Y11Al9Co4 after structural relaxation.

CIF file:
```
data_Y11Al9Co4
_space_group_name_H-M_alt 'C m m m'
_space_group_IT_number 65
_space_group_name_Hall '-C 2 2'
_cell_length_a 13.9165
_cell_length_b 20.8130
_cell_length_c 3.5882
_cell_angle_alpha 90.00
_cell_angle_beta 90.00
_cell_angle_gamma 90.00
loop_
_atom_site_label
_atom_site_type_symbol
_atom_site_fract_x
_atom_site_fract_y
_atom_site_fract_z
Y1 Y 0.0000 0.0000 0.0000
Y2 Y 0.0000 0.1660 0.0000
Y3 Y 0.0000 0.3755 0.0000
Y4 Y 0.1883 0.5000 0.0000
Y5 Y 0.2439 0.1701 0.0000
Al1 Al 0.0000 0.5000 0.5000
Al2 Al 0.1007 0.2697 0.5000
Al3 Al 0.1529 0.0682 0.5000
Co1 Co 0.1552 0.3981 0.5000
```

Calculated values
Its raw total energy is -5.961 eV per atom. The crystal system is orthorhombic. As for the density of states at the Fermi level: 13.936 states/eV/f.u.